(1)
A relaxed structure of NaAl2Mo. Source: the Alexandria database, functional PBE-GGA.

Cell lengths 4.5930, 4.5930, 4.5930 Å; angles 60.00, 60.00, 60.00 degrees
With the nearest neighbours (Å) after each atom.
Sites, in units of the cell vectors:
Al 0.7500 0.7500 0.7500  4 Na 2.81, 4 Mo 2.81
Al 0.2500 0.2500 0.2500  4 Mo 2.81, 4 Na 2.81
Mo 0.5000 0.5000 0.5000  8 Al 2.81
Na 0.0000 0.0000 0.0000  8 Al 2.81

* ΔH_f (0 K): 0.369 eV per atom
* E: -18.16 eV for the cell shown
* magnetic moment: 0.271 μB per atom
* symmetry: Fm-3m

=====

(2)
A relaxed structure of PuSi2Hg. Source: the Alexandria database, functional PBE-GGA.

Cell lengths 3.9876, 4.4314, 4.4314 Å; angles 90.00, 90.00, 90.00 degrees
With the nearest neighbours (Å) after each atom.
Sites, in units of the cell vectors:
Hg 0.5000 0.0000 0.0000  8 Si 2.98, 4 Pu 3.13
Pu 0.5000 0.5000 0.5000  8 Si 2.98, 4 Hg 3.13
Si 0.0000 0.0000 0.5000  4 Hg 2.98, 4 Pu 2.98, 4 Si 3.13
Si 0.0000 0.5000 0.0000  4 Pu 2.98, 4 Hg 2.98, 4 Si 3.13

* E: -25.85 eV for the cell shown
* magnetic moment: 1.283 μB per atom
* symmetry: P4/mmm

=====

(3)
A relaxed structure of CrSbAs2. Source: the Alexandria database, functional PBE-GGA.

Cell lengths 6.2525, 6.2525, 6.2525 Å; angles 152.24, 134.44, 54.20 degrees
With the nearest neighbours (Å) after each atom.
Sites, in units of the cell vectors:
As 0.4386 0.4386 0.0000  2 Cr 2.58
Cr 0.2500 0.7500 0.5000  4 As 2.58, 4 Sb 2.85
As 0.0614 0.0614 0.0000  2 Cr 2.58
Sb 0.7500 0.2500 0.5000  4 Cr 2.85, 2 Sb 3.00

* E: -21.89 eV for the cell shown
* magnetic moment: 0.627 μB per atom
* symmetry: Immm

=====

(4)
A relaxed structure of Ca2SbBr2. Source: the Alexandria database, functional PBE-GGA.

Cell lengths 4.1975, 4.1886, 12.0213 Å; angles 80.96, 79.95, 59.93 degrees
With the nearest neighbours (Å) after each atom.
Sites, in units of the cell vectors:
Sb 0.0000 0.5000 0.5000  6 Ca 3.25
Br 0.4494 0.9199 0.1812  3 Ca 2.90
Ca 0.2662 0.7835 0.6840  3 Br 2.90
Br 0.5506 0.0801 0.8188  3 Ca 2.90
Ca 0.7338 0.2165 0.3160  3 Br 2.90

* E: -19.01 eV for the cell shown
* magnetic moment: 0.000 μB per atom
* symmetry: C2/m

=====

(5)
A relaxed structure of CuIrPt2. Source: the Alexandria database, functional PBE-GGA.

Cell lengths 4.7525, 4.7525, 4.7566 Å; angles 80.27, 80.27, 33.54 degrees
With the nearest neighbours (Å) after each atom.
Sites, in units of the cell vectors:
Cu 0.4971 0.4971 0.4925  7 Pt 2.69-2.78, 3 Ir 2.73-2.84, 2 Cu 2.74
Pt 0.2468 0.2468 0.2657  3 Cu 2.69-2.71, 4 Ir 2.73-2.76, 5 Pt 2.74-2.84
Ir 0.7524 0.7524 0.7592  7 Pt 2.69-2.76, 3 Cu 2.73-2.84, 2 Ir 2.74
Pt 0.0036 0.0036 0.9826  3 Ir 2.69-2.70, 4 Cu 2.71-2.78, 5 Pt 2.74-2.84

* ΔH_f (0 K): -0.013 eV per atom
* E: -25.09 eV for the cell shown
* magnetic moment: 0.000 μB per atom
* symmetry: Cm

=====

(6)
A relaxed structure of BaLa2Nd3Te6. Source: the Alexandria database, functional PBE-GGA.

Cell lengths 4.5708, 9.2644, 10.2744 Å; angles 103.05, 102.85, 90.00 degrees
With the nearest neighbours (Å) after each atom.
Sites, in units of the cell vectors:
Ba 0.5000 0.0000 0.0000  6 Te 3.35-3.38
La 0.1694 0.3376 0.3389  6 Te 3.24-3.31
Te 0.3267 0.9192 0.6534  3 Nd 3.18-3.28, 2 La 3.31, 1 Ba 3.38
Te 0.0016 0.2656 0.0032  3 Nd 3.16-3.22, 1 La 3.27, 2 Ba 3.35
Te 0.3357 0.4165 0.6713  3 Nd 3.19-3.20, 3 La 3.24-3.25
Te 0.6643 0.5835 0.3287  3 Nd 3.19-3.20, 3 La 3.24-3.25
Nd 0.8365 0.1767 0.6730  6 Te 3.18-3.28
Te 0.6733 0.0808 0.3466  3 Nd 3.18-3.28, 2 La 3.31, 1 Ba 3.38
Te 0.9984 0.7344 0.9968  3 Nd 3.16-3.22, 1 La 3.27, 2 Ba 3.35
Nd 0.1635 0.8233 0.3270  6 Te 3.18-3.28
Nd 0.5000 0.5000 0.0000  6 Te 3.16-3.20
La 0.8306 0.6624 0.6611  6 Te 3.24-3.31

* E: -63.19 eV for the cell shown
* magnetic moment: 0.000 μB per atom
* symmetry: C2/m